# Pr5MgSc4 PBE optimized geometry
# Volume ... 300.4 Å³ per cell
# SG ... P4/mmm (123)
# Formation energy from the elements ... 2.66 kJ per mole of atoms
# N(E_F) ... 12.96 states/eV per cell
data_Pr5MgSc4
_chemical_formula_sum 'Pr5 Mg1 Sc4'
_cell_length_a 3.7005
_cell_length_b 3.7005
_cell_length_c 21.9342
_cell_angle_alpha 90.00
_cell_angle_beta 90.00
_cell_angle_gamma 90.00
_space_group_name_H-M_alt 'P 1'
_space_group_IT_number 1
loop_
_space_group_symop_operation_xyz
'x,y,z'
loop_
_atom_site_label
_atom_site_fract_x
_atom_site_fract_y
_atom_site_fract_z
Pr1 0.0000 0.0000 0.0000
Pr2 0.0000 0.0000 0.1992
Pr3 0.0000 0.0000 0.4005
Pr4 0.0000 0.0000 0.5995
Pr5 0.0000 0.0000 0.8008
Mg1 0.5000 0.5000 0.5000
Sc1 0.5000 0.5000 0.0997
Sc2 0.5000 0.5000 0.3000
Sc3 0.5000 0.5000 0.7000
Sc4 0.5000 0.5000 0.9003